The following is a PBE+U calculation of crystalline Li2NiSnO4 at its relaxed geometry, from the Alexandria database.

Relative energy among the computed polymorphs   8 meV/atom
Total moment   2.000 Bohr magnetons per cell

Lattice parameters (Å, degrees): 4.239 4.239 5.352 113.33 113.33 90.00
Positions (direct):
Li  0.500  0.500  0.000
O  0.020  0.520  0.040
Ni  0.000  0.000  0.000
Sn  0.250  0.750  0.500
O  0.238  0.238  0.476
Li  0.750  0.250  0.500
O  0.480  0.980  0.960
O  0.762  0.762  0.524